DFT (GGA-PBE) results for Cd2GaH after structural relaxation.

Structure (extended XYZ):
```
16
Lattice="6.615 0.000 0.000 0.000 6.615 0.000 0.000 0.000 6.615" Properties=species:S:1:pos:R:3 pbc="T T T"
Cd 1.654 1.654 1.654
Cd 1.654 1.654 4.961
Cd 1.654 4.961 1.654
Cd 1.654 4.961 4.961
Cd 4.961 1.654 1.654
Cd 4.961 1.654 4.961
Cd 4.961 4.961 1.654
Cd 4.961 4.961 4.961
Ga 0.000 0.000 0.000
Ga 0.000 3.307 3.307
Ga 3.307 0.000 3.307
Ga 3.307 3.307 0.000
H 0.000 0.000 3.307
H 0.000 3.307 0.000
H 3.307 0.000 0.000
H 3.307 3.307 3.307
```

Volume (Å³ per cell): 289
Symmetry: No. 225
M_tot (μB/f.u.): 0.000
Electronic total energy (eV per atom): -1.61